A plane-wave DFT calculation with PBE+U was carried out for a relaxed structure of Li7Fe7SiO16.

Results
**Total DFT energy (no corrections)**: -193.0 eV for the cell shown
**SG**: C222
**Spin magnetization**: 34.99 μB/cell

a = 5.255 Å, b = 5.255 Å, c = 11.417 Å
α = 90.00°, β = 90.00°, γ = 113.68°
Site moments in Bohr magnetons follow the coordinates.
Fractional coordinates of all 31 atoms:
Li (0.500, 0.000, 0.122)  0.00
Li (0.000, 0.000, 0.249)  0.00
Li (0.000, 0.500, 0.373)  0.00
Li (0.500, 0.500, 0.500)  0.00
Li (0.000, 0.000, 0.751)  0.00
Li (0.500, 0.000, 0.627)  0.00
Li (0.000, 0.500, 0.878)  0.00
Fe (0.000, 0.500, 0.121)  4.35
Fe (0.500, 0.500, 0.238)  4.35
Fe (0.500, 0.000, 0.373)  4.37
Fe (0.000, 0.000, 0.500)  4.36
Fe (0.000, 0.500, 0.627)  4.37
Fe (0.500, 0.500, 0.762)  4.35
Fe (0.500, 0.000, 0.879)  4.35
Si (0.000, 0.000, 0.000)  0.03
O (0.788, 0.755, 0.117)  0.20
O (0.798, 0.202, 0.000)  0.16
O (0.202, 0.798, 0.000)  0.16
O (0.272, 0.727, 0.245)  0.26
O (0.212, 0.245, 0.117)  0.20
O (0.728, 0.273, 0.245)  0.26
O (0.731, 0.769, 0.372)  0.27
O (0.769, 0.731, 0.628)  0.27
O (0.269, 0.231, 0.372)  0.27
O (0.768, 0.232, 0.500)  0.27
O (0.232, 0.768, 0.500)  0.27
O (0.273, 0.728, 0.755)  0.26
O (0.755, 0.788, 0.883)  0.20
O (0.231, 0.269, 0.628)  0.27
O (0.727, 0.272, 0.755)  0.26
O (0.245, 0.212, 0.883)  0.20